{
  "formula": "TbPmSnIr",
  "functional": "GGA-PBE",
  "state": "relaxed",
  "cell": [[4.3226, 0.0000, 0.0000], [0.0000, 4.1733, 0.0000], [-2.1613, 0.0000, 5.6691]],
  "species": ["Tb", "Pm", "Sn", "Ir"],
  "frac_coords": [[0.1358, 0.0000, 0.2716], [0.8445, 0.5000, 0.6890], [0.4291, 0.0000, 0.8581], [0.5906, 0.5000, 0.1813]],
  "spacegroup": "Amm2",
  "mass_density_g_cm3": 9.98,
  "polymorph_energy_kj_per_mol_atoms": 0.00,
  "formation_energy_ev_per_atom": -0.6910
}